Compound: ScAl2Zn
Source: Alexandria via LeMat-Bulk
Functional: PBEsol
Structure: relaxed

Output
As for the space-group type: P4mm (99). As for the formation energy: -0.213 eV/atom. The total magnetization is 0.067 μB per atom.

Lattice parameters (Å, degrees): 3.233 3.233 6.531 90.00 90.00 90.00
Fractional positions:
1 Sc 0.000 0.000 0.000
2 Al 0.000 0.000 0.484
3 Al 0.500 0.500 0.720
4 Zn 0.500 0.500 0.277